# 1
## Ba7Bi2Sb2 (GGA-PBE)

Data for Ba7Bi2Sb2 after structural relaxation.

Summary:
SG	Cmmm, No. 65
crystal system	orthorhombic
uncorrected formation energy	-749	meV/atom

abc: 8.346 8.302 8.346
angles: 90.00 97.41 90.00
Last column: magnetic moment on the atom in μB.
Atoms (fractional coordinates):
Ba1 0.000 0.739 0.500  0.06
Ba2 0.000 0.261 0.500  0.06
Ba3 0.000 0.000 0.000  0.07
Ba4 0.500 0.739 0.000  0.06
Ba5 0.500 0.261 0.000  0.06
Ba6 0.500 0.247 0.500  0.06
Ba7 0.500 0.753 0.500  0.06
Sb1 0.273 0.000 0.727  -0.01
Sb2 0.727 0.000 0.273  -0.01
Bi1 0.232 0.500 0.232  -0.02
Bi2 0.768 0.500 0.768  -0.02

# 2
## Zr2AlHRh (GGA-PBE)

Data for Zr2AlHRh after structural relaxation.

Summary:
SG	P4/mmm, No. 123
crystal system	tetragonal
offset from the most stable computed form	0	meV/atom

abc: 4.375 4.375 3.980
angles: 90.00 90.00 90.00
Atoms (fractional coordinates):
Zr1 0.500 0.000 0.000
Zr2 0.000 0.500 0.000
Rh1 0.000 0.000 0.500
Al1 0.500 0.500 0.500
H1 0.000 0.000 0.000

# 3
## La2ZnIn3 (GGA-PBE)

Data for La2ZnIn3 after structural relaxation.

Summary:
DFT total energy	-3.704	eV per atom
SG	Fmmm, No. 69
crystal system	orthorhombic

abc: 6.290 6.290 9.348
angles: 105.26 105.26 102.57
Atoms (fractional coordinates):
La1 0.750 0.750 0.000
La2 0.750 0.250 0.500
La3 0.250 0.250 0.000
La4 0.250 0.750 0.500
In1 0.171 0.171 0.343
In2 0.830 0.342 0.172
In3 0.829 0.829 0.657
In4 0.658 0.170 0.828
In5 0.170 0.658 0.828
In6 0.342 0.830 0.172
Zn1 0.333 0.333 0.666
Zn2 0.667 0.667 0.334

# 4
## CaDyCd5 (GGA-PBE)

Data for CaDyCd5 after structural relaxation.

Summary:
DFT total energy	-1.727	eV per atom
SG	Cmmm, No. 65
crystal system	orthorhombic

abc: 5.428 5.428 6.689
angles: 90.01 90.01 105.93
Atoms (fractional coordinates):
Ca1 0.500 0.500 0.500
Cd1 0.500 0.000 0.766
Cd2 0.000 0.500 0.234
Cd3 0.500 0.000 0.234
Cd4 0.000 0.500 0.766
Cd5 0.000 0.000 0.500
Dy1 0.000 0.000 0.000

# 5
## PmGa3Au3 (GGA-PBE)

Data for PmGa3Au3 after structural relaxation.

Summary:
SG	P2_1/m, No. 11
crystal system	monoclinic
offset from the most stable computed form	0	meV/atom

abc: 4.581 9.720 7.433
angles: 117.86 90.00 90.00
Atoms (fractional coordinates):
Ga1 0.750 0.716 0.753
Ga2 0.250 0.284 0.247
Ga3 0.250 0.095 0.715
Ga4 0.250 0.744 0.009
Ga5 0.750 0.256 0.991
Ga6 0.750 0.905 0.285
Au1 0.250 0.529 0.640
Au2 0.750 0.471 0.360
Au3 0.250 0.040 0.309
Au4 0.750 0.602 0.076
Au5 0.250 0.398 0.924
Au6 0.750 0.960 0.691
Pm1 0.250 0.725 0.424
Pm2 0.750 0.275 0.576

# 6
## CeGe2As (GGA-PBE)

Data for CeGe2As after structural relaxation.

Summary:
DFT total energy	-5.552	eV per atom
SG	P4/mmm, No. 123
crystal system	tetragonal

abc: 4.511 4.248 4.248
angles: 90.00 90.00 90.00
Atoms (fractional coordinates):
As1 0.500 0.500 0.500
Ge1 0.000 0.500 0.000
Ge2 0.000 0.000 0.500
Ce1 0.500 0.000 0.000

# 7
## ZrScP2S (GGA-PBE)

Data for ZrScP2S after structural relaxation.

Summary:
SG	P4/mmm, No. 123
crystal system	tetragonal
offset from the most stable computed form	0	meV/atom
uncorrected formation energy	-259	meV/atom

abc: 4.980 4.980 4.873
angles: 90.00 90.00 90.00
Atoms (fractional coordinates):
Zr1 0.000 0.000 0.000
P1 0.000 0.500 0.000
P2 0.500 0.000 0.000
S1 0.000 0.000 0.500
Sc1 0.500 0.500 0.500

# 8
## TaCuTe4 (GGA-PBE)

Data for TaCuTe4 after structural relaxation.

Summary:
SG	F-43m, No. 216
crystal system	cubic
offset from the most stable computed form	1222	meV/atom
uncorrected formation energy	1260	meV/atom

abc: 6.141 6.141 6.141
angles: 60.00 60.00 60.00
Last column: magnetic moment on the atom in μB.
Atoms (fractional coordinates):
Cu1 0.750 0.750 0.750  -0.01
Te1 0.375 0.375 0.375  -0.03
Te2 0.375 0.375 0.875  -0.03
Te3 0.375 0.875 0.375  -0.03
Te4 0.875 0.375 0.375  -0.03
Ta1 0.000 0.000 0.000  1.66

# 9
## Tb6CeNd2Y3 (GGA-PBE)

Data for Tb6CeNd2Y3 after structural relaxation.

Summary:
DFT total energy	-5.182	eV per atom
SG	C2/m, No. 12
crystal system	monoclinic

abc: 6.212 6.212 11.872
angles: 95.00 95.00 120.00
Last column: magnetic moment on the atom in μB.
Atoms (fractional coordinates):
Tb1 0.586 0.916 0.749  0.01
Tb2 0.753 0.753 0.252  0.01
Tb3 0.916 0.586 0.749  0.01
Tb4 0.084 0.414 0.251  0.01
Tb5 0.247 0.247 0.748  0.01
Tb6 0.414 0.084 0.251  0.01
Y1 0.167 0.833 0.500  -0.01
Y2 0.833 0.167 0.500  -0.01
Y3 0.500 0.500 0.500  -0.01
Nd1 0.667 0.333 0.000  0.01
Nd2 0.333 0.667 0.000  0.01
Ce1 0.000 0.000 0.000  0.76

# 10
## BaLiCo2 (GGA-PBE)

Data for BaLiCo2 after structural relaxation.

Summary:
SG	I-4m2, No. 119
crystal system	tetragonal
offset from the most stable computed form	485	meV/atom

abc: 4.797 4.797 4.797
angles: 119.91 119.91 90.16
Last column: magnetic moment on the atom in μB.
Atoms (fractional coordinates):
Ba1 0.750 0.250 0.500  -0.12
Co1 0.000 0.000 0.000  1.56
Co2 0.250 0.750 0.500  1.68
Li1 0.500 0.500 0.000  -0.06

# 11
## Co2SbP (GGA-PBE)

Data for Co2SbP after structural relaxation.

Summary:
SG	Pmm2, No. 25
crystal system	orthorhombic
offset from the most stable computed form	115	meV/atom
uncorrected formation energy	-105	meV/atom

abc: 3.202 3.258 5.459
angles: 90.00 90.00 90.00
Atoms (fractional coordinates):
Sb1 0.500 0.500 0.795
Co1 0.500 0.500 0.313
Co2 0.000 0.000 0.001
P1 0.000 0.000 0.391

# 12
## Rb2CeHgS4 (GGA-PBE)

Data for Rb2CeHgS4 after structural relaxation.

Summary:
SG	I-4, No. 82
crystal system	tetragonal
uncorrected formation energy	-1059	meV/atom

abc: 7.131 7.131 7.131
angles: 98.49 115.23 115.23
Atoms (fractional coordinates):
Ce1 0.500 0.250 0.750
S1 0.427 0.872 0.792
S2 0.573 0.364 0.445
S3 0.919 0.555 0.128
S4 0.081 0.208 0.636
Rb1 0.000 0.000 0.000
Rb2 0.500 0.750 0.250
Hg1 0.000 0.500 0.500

# 13
## YRh3S (GGA-PBE)

Data for YRh3S after structural relaxation.

Summary:
SG	Pm-3m, No. 221
crystal system	cubic
offset from the most stable computed form	0	meV/atom
uncorrected formation energy	-505	meV/atom

abc: 4.462 4.462 4.462
angles: 90.00 90.00 90.00
Atoms (fractional coordinates):
Rh1 0.000 0.000 0.500
Rh2 0.000 0.500 0.000
Rh3 0.500 0.000 0.000
Y1 0.500 0.500 0.500
S1 0.000 0.000 0.000

# 14
## KLaCr2Te (GGA-PBE)

Data for KLaCr2Te after structural relaxation.

Summary:
SG	P4/mmm, No. 123
crystal system	tetragonal
uncorrected formation energy	1553	meV/atom

abc: 4.656 5.898 4.656
angles: 90.00 90.00 90.00
Atoms (fractional coordinates):
K1 0.000 0.500 0.000
Cr1 0.000 0.000 0.500
Cr2 0.500 0.000 0.000
Te1 0.500 0.500 0.500
La1 0.000 0.000 0.000

# 15
## SrTmF4 (GGA-PBE)

Data for SrTmF4 after structural relaxation.

Summary:
SG	Cm, No. 8
crystal system	monoclinic
uncorrected formation energy	-3622	meV/atom

abc: 6.528 6.552 6.552
angles: 110.99 109.05 108.52
Atoms (fractional coordinates):
Tm1 0.760 0.740 0.019
Tm2 0.552 0.022 0.530
F1 0.760 0.940 0.820
F2 0.710 0.518 0.192
F3 0.319 0.974 0.705
F4 0.365 0.535 0.830
F5 0.651 0.010 0.231
F6 0.319 0.614 0.345
F7 0.163 0.974 0.189
F8 0.651 0.420 0.641
Sr1 0.021 0.506 0.515
Sr2 0.231 0.247 0.984

# 16
## CoAuBr2 (GGA-PBE)

Data for CoAuBr2 after structural relaxation.

Summary:
SG	P4mm, No. 99
crystal system	tetragonal
offset from the most stable computed form	268	meV/atom
uncorrected formation energy	307	meV/atom

abc: 3.259 3.259 8.484
angles: 90.00 90.00 90.00
Last column: magnetic moment on the atom in μB.
Atoms (fractional coordinates):
Br1 0.000 0.000 0.927  -0.05
Br2 0.500 0.500 0.350  0.14
Au1 0.500 0.500 0.708  0.01
Co1 0.000 0.000 0.516  2.06

# 17
## KSr2RuAu (GGA-PBE)

Data for KSr2RuAu after structural relaxation.

Summary:
DFT total energy	-3.176	eV per atom
SG	P4/mmm, No. 123
crystal system	tetragonal

abc: 5.767 5.298 5.767
angles: 90.00 90.00 90.00
Last column: magnetic moment on the atom in μB.
Atoms (fractional coordinates):
K1 0.500 0.500 0.500  0.01
Ru1 0.000 0.000 0.000  0.68
Au1 0.000 0.500 0.000  0.10
Sr1 0.000 0.000 0.500  0.01
Sr2 0.500 0.000 0.000  0.03

# 18
## K2RbGeBr5 (GGA-PBE)

Data for K2RbGeBr5 after structural relaxation.

Summary:
SG	Cmc2_1, No. 36
crystal system	orthorhombic
uncorrected formation energy	-1326	meV/atom

abc: 4.910 10.495 13.508
angles: 90.00 90.00 103.53
Atoms (fractional coordinates):
Rb1 0.789 0.577 0.520
Rb2 0.211 0.423 0.020
K1 0.864 0.728 0.812
K2 0.136 0.272 0.312
K3 0.890 0.780 0.182
K4 0.110 0.220 0.682
Br1 0.645 0.291 0.868
Br2 0.039 0.078 0.037
Br3 0.622 0.244 0.501
Br4 0.519 0.038 0.260
Br5 0.355 0.709 0.368
Br6 0.276 0.552 0.700
Br7 0.481 0.962 0.760
Br8 0.378 0.756 0.001
Br9 0.961 0.922 0.537
Br10 0.724 0.448 0.200
Ge1 0.523 0.046 0.943
Ge2 0.477 0.954 0.443